The following is a DFT calculation (GGA+U) of a relaxed structure of CrNO.

Unit cell a=2.7840 b=3.0746 c=3.6134 alpha=90.00 beta=107.69 gamma=90.00
Closest atoms and distances in Å follow each position.
Sites, in units of the cell vectors:
Cr  0.0000  0.0000  0.0000  3 O 1.90-2.08, 2 N 1.93
N  0.3675  0.5000  0.9125  2 Cr 1.93
O  0.7108  0.0000  0.4124  3 Cr 1.90-2.08

Computed properties:
calculated density	4.62	g cm⁻³
volume	29	Å³/cell
density of states at the Fermi level	0.166	states/eV/atom
relative energy among the computed polymorphs	0.984	eV/atom